This record from OQMD via LeMat-Bulk describes PuTe after structural relaxation. The functional is PBE-GGA.

```
PuTe
1.0
4.2231 0.0000 0.0000
-2.1115 3.6572 0.0000
0.0000 0.0000 4.0699
Te Pu
1 1
Cartesian
0.0000 2.4381 1.0175
2.1115 1.2191 3.0525
```

Computed properties:
mass density = 9817 kg/m3
crystal system = hexagonal
calculated volume = 31.43 Å³ per atom
space group = P-6m2
magnetization = 6.00 μB per formula unit
calculated total energy = -19.411 eV per cell

This record from OQMD via LeMat-Bulk describes PuTe after structural relaxation. The functional is PBE-GGA.

```
PuTe
1.0
3.7847 -3.1766 1.0508
-0.7697 -4.9898 -0.1689
2.0838 -2.7538 -3.6870
Pu Te
1 1
Cartesian
0.0000 0.0000 0.0000
1.2747 -2.7300 -0.7013
```

Computed properties:
mass density = 6769 kg/m3
crystal system = cubic
calculated volume = 45.58 Å³ per atom
space group = F-43m
magnetization = 6.00 μB per formula unit
calculated total energy = -18.612 eV per cell

This record from OQMD via LeMat-Bulk describes PuTlTe after structural relaxation. The functional is PBE-GGA.

```
PuTlTe
1.0
0.8654 -2.1134 4.7958
-0.3278 3.0427 4.3416
-4.0394 -0.6362 3.3902
Pu Te Tl
1 1 1
Cartesian
-1.7509 0.1465 6.2638
-0.8755 0.0733 3.1319
0.0000 0.0000 0.0000
```

Computed properties:
mass density = 9025 kg/m3
crystal system = cubic
calculated volume = 35.33 Å³ per atom
space group = F-43m
magnetization = 6.39 μB per formula unit
energy above the most stable polymorph in this dataset = 54.4 meV/atom

This record from OQMD via LeMat-Bulk describes PuTlTe after structural relaxation. The functional is PBE-GGA.

```
PuTlTe
1.0
0.0000 3.6494 3.6494
3.6494 0.0000 3.6494
3.6494 3.6494 0.0000
Pu Te Tl
1 1 1
Cartesian
0.0000 0.0000 0.0000
1.8247 1.8247 1.8247
5.4741 5.4741 5.4741
```

Computed properties:
mass density = 9839 kg/m3
crystal system = cubic
calculated volume = 32.40 Å³ per atom
space group = F-43m
magnetization = 6.43 μB per formula unit
energy above the most stable polymorph in this dataset = 0.0 meV/atom

This record from OQMD via LeMat-Bulk describes PuTlZnTe3 after structural relaxation. The functional is PBE-GGA.

```
PuTlZnTe3
1.0
3.3620 6.5237 3.4039
-6.0707 -5.3452 -0.1503
5.8831 -6.8895 7.3932
Pu Tl Te Zn
2 2 6 2
Cartesian
2.9415 -3.4447 3.6966
0.0000 0.0000 0.0000
-2.3020 -4.1762 2.5639
5.4763 -1.5348 8.0830
2.8849 -7.4507 8.0682
-0.9657 -9.6407 5.6556
2.4753 -0.8202 5.3256
0.2894 1.7397 2.5786
4.1400 3.9296 4.9912
0.6990 -4.8909 5.3212
0.4364 -0.7305 3.5957
2.7379 -4.9805 7.0511
```

Computed properties:
mass density = 7442 kg/m3
crystal system = orthorhombic
calculated volume = 33.34 Å³ per atom
space group = Cmcm
magnetization = 5.00 μB per formula unit
calculated total energy = -62.601 eV per cell

This record from OQMD via LeMat-Bulk describes TmPuTe2 after structural relaxation. The functional is PBE-GGA.

```
TmPuTe2
1.0
2.1641 1.2495 7.2452
-2.1641 1.2495 7.2452
0.0000 -2.4989 7.2452
Te Tm Pu
2 1 1
Cartesian
0.0000 0.0000 16.3740
0.0000 0.0000 5.3616
0.0000 0.0000 10.8678
0.0000 0.0000 0.0000
```

Computed properties:
mass density = 9439 kg/m3
crystal system = trigonal
calculated volume = 29.39 Å³ per atom
space group = R-3m
magnetization = 6.05 μB per formula unit
calculated total energy = -29.744 eV per cell

This record from OQMD via LeMat-Bulk describes PuTeW after structural relaxation. The functional is PBE-GGA.

```
PuTeW
1.0
2.4019 1.3867 3.9222
-2.4019 1.3867 3.9222
0.0000 -2.7734 3.9222
Pu W Te
1 1 1
Cartesian
0.0000 0.0000 0.0000
0.0000 0.0000 2.9417
0.0000 0.0000 8.8250
```

Computed properties:
mass density = 11767 kg/m3
crystal system = cubic
calculated volume = 26.13 Å³ per atom
space group = F-43m
magnetization = 3.20 μB per formula unit
energy above the most stable polymorph in this dataset = 564.7 meV/atom

This record from OQMD via LeMat-Bulk describes PuTeW after structural relaxation. The functional is PBE-GGA.

```
PuTeW
1.0
0.0000 3.3048 3.3048
3.3048 0.0000 3.3048
3.3048 3.3048 0.0000
Te Pu W
1 1 1
Cartesian
4.9571 4.9571 4.9571
1.6524 1.6524 1.6524
0.0000 0.0000 0.0000
```

Computed properties:
mass density = 12777 kg/m3
crystal system = cubic
calculated volume = 24.06 Å³ per atom
space group = F-43m
magnetization = 5.94 μB per formula unit
energy above the most stable polymorph in this dataset = 0.0 meV/atom

This record from OQMD via LeMat-Bulk describes YPuTe2 after structural relaxation. The functional is PBE-GGA.

```
YPuTe2
1.0
2.1884 1.2635 7.2659
-2.1884 1.2635 7.2659
0.0000 -2.5270 7.2659
Pu Te Y
1 2 1
Cartesian
0.0000 0.0000 0.0000
0.0000 0.0000 16.3805
0.0000 0.0000 5.4171
0.0000 0.0000 10.8988
```

Computed properties:
mass density = 8101 kg/m3
crystal system = trigonal
calculated volume = 30.14 Å³ per atom
space group = R-3m
magnetization = 6.02 μB per formula unit
calculated total energy = -32.000 eV per cell

This record from OQMD via LeMat-Bulk describes PuZrTe after structural relaxation. The functional is PBE-GGA.

```
PuZrTe
1.0
0.0000 3.5007 3.5007
3.5007 0.0000 3.5007
3.5007 3.5007 0.0000
Pu Te Zr
1 1 1
Cartesian
5.2510 5.2510 5.2510
3.5007 3.5007 3.5007
1.7503 1.7503 1.7503
```

Computed properties:
mass density = 8957 kg/m3
crystal system = cubic
calculated volume = 28.60 Å³ per atom
space group = F-43m
magnetization = 6.74 μB per formula unit
energy above the most stable polymorph in this dataset = 0.0 meV/atom

This record from OQMD via LeMat-Bulk describes PuThTl after structural relaxation. The functional is PBE-GGA.

```
PuThTl
1.0
0.0000 3.6467 3.6467
3.6467 0.0000 3.6467
3.6467 3.6467 0.0000
Th Pu Tl
1 1 1
Cartesian
5.4700 5.4700 5.4700
1.8233 1.8233 1.8233
0.0000 0.0000 0.0000
```

Computed properties:
mass density = 11649 kg/m3
crystal system = cubic
calculated volume = 32.33 Å³ per atom
space group = F-43m
magnetization = 6.99 μB per formula unit
energy above the most stable polymorph in this dataset = 0.0 meV/atom

This record from OQMD via LeMat-Bulk describes YPuTh after structural relaxation. The functional is PBE-GGA.

```
YPuTh
1.0
0.0000 3.6912 3.6912
3.6912 0.0000 3.6912
3.6912 3.6912 0.0000
Th Pu Y
1 1 1
Cartesian
5.5368 5.5368 5.5368
0.0000 0.0000 0.0000
1.8456 1.8456 1.8456
```

Computed properties:
mass density = 9326 kg/m3
crystal system = cubic
calculated volume = 33.53 Å³ per atom
space group = F-43m
magnetization = 7.25 μB per formula unit
energy above the most stable polymorph in this dataset = 0.0 meV/atom
energy of formation from the pure elements = 0.733 eV/atom

This record from OQMD via LeMat-Bulk describes PuThZr after structural relaxation. The functional is PBE-GGA.

```
PuThZr
1.0
0.0000 3.4189 3.4189
3.4189 0.0000 3.4189
3.4189 3.4189 0.0000
Zr Th Pu
1 1 1
Cartesian
0.0000 0.0000 0.0000
1.7094 1.7094 1.7094
3.4188 3.4188 3.4188
```

Computed properties:
mass density = 11786 kg/m3
crystal system = cubic
calculated volume = 26.64 Å³ per atom
space group = F-43m
magnetization = 5.59 μB per formula unit
energy above the most stable polymorph in this dataset = 0.0 meV/atom
energy of formation from the pure elements = 0.945 eV/atom

This record from OQMD via LeMat-Bulk describes Pu2Tl after structural relaxation. The functional is PBE-GGA.

```
Pu2Tl
1.0
0.7902 -4.5470 8.8735
9.0238 -1.6683 3.9785
2.9615 5.1797 8.0274
Pu Tl
4 2
Cartesian
6.2716 2.2015 11.8435
5.1859 -2.6619 12.2666
4.7908 -0.3884 7.8298
9.3027 -1.2225 9.8190
6.3877 -0.5178 10.4397
3.1939 -0.2589 5.2199
```

Computed properties:
mass density = 3250 kg/m3
crystal system = cubic
calculated volume = 117.92 Å³ per atom
space group = Fd-3m
magnetization = 13.00 μB per formula unit
calculated total energy = -51.049 eV per cell

This record from OQMD via LeMat-Bulk describes PuTl after structural relaxation. The functional is PBE-GGA.

```
PuTl
1.0
0.0000 3.5857 3.5857
3.5857 0.0000 3.5857
3.5857 3.5857 0.0000
Tl Pu
1 1
Cartesian
1.7929 1.7929 1.7929
0.0000 0.0000 0.0000
```

Computed properties:
mass density = 8075 kg/m3
crystal system = cubic
calculated volume = 46.10 Å³ per atom
space group = F-43m
magnetization = 6.60 μB per formula unit
calculated total energy = -14.752 eV per cell

This record from OQMD via LeMat-Bulk describes PuTl after structural relaxation. The functional is PBE-GGA.

```
PuTl
1.0
-0.7378 2.4171 3.7937
-3.4961 -1.0525 2.7292
0.7789 -1.8718 4.0827
Pu Tl
1 1
Cartesian
0.0000 0.0000 0.0000
-1.7275 -0.2536 5.3027
```

Computed properties:
mass density = 11117 kg/m3
crystal system = cubic
calculated volume = 33.49 Å³ per atom
space group = Fm-3m
magnetization = 6.73 μB per formula unit
calculated total energy = -15.869 eV per cell

This record from OQMD via LeMat-Bulk describes PuTl after structural relaxation. The functional is PBE-GGA.

```
PuTl
1.0
-0.6199 2.7855 -1.8513
1.0887 -2.8431 -1.5172
-5.2616 -1.6390 -0.7043
Tl Pu
1 1
Cartesian
-0.7962 -1.3766 -1.8047
-3.9965 -0.3200 -2.2682
```

Computed properties:
mass density = 13374 kg/m3
crystal system = hexagonal
calculated volume = 27.84 Å³ per atom
space group = P-6m2
magnetization = 6.03 μB per formula unit
calculated total energy = -16.492 eV per cell

This record from OQMD via LeMat-Bulk describes TmPuTl after structural relaxation. The functional is PBE-GGA.

```
TmPuTl
1.0
-3.7658 -2.0810 -2.9049
-4.9755 0.7236 1.2929
-3.0206 3.0566 -2.9126
Tl Tm Pu
1 1 1
Cartesian
0.0000 0.0000 0.0000
-8.8214 1.2744 -3.3935
-2.9405 0.4248 -1.1312
```

Computed properties:
mass density = 10362 kg/m3
crystal system = cubic
calculated volume = 32.98 Å³ per atom
space group = F-43m
magnetization = 6.39 μB per formula unit
energy above the most stable polymorph in this dataset = 0.0 meV/atom

This record from OQMD via LeMat-Bulk describes PuUTl after structural relaxation. The functional is PBE-GGA.

```
PuUTl
1.0
1.8261 -3.5555 -3.1874
2.6303 -3.9773 1.8436
-2.0614 -4.6779 -0.0626
Pu Tl U
1 1 1
Cartesian
0.5987 -3.0527 -0.3516
0.0000 0.0000 0.0000
1.7962 -9.1581 -1.0548
```

Computed properties:
mass density = 12064 kg/m3
crystal system = cubic
calculated volume = 31.49 Å³ per atom
space group = F-43m
magnetization = 9.26 μB per formula unit
energy above the most stable polymorph in this dataset = 0.0 meV/atom

This record from OQMD via LeMat-Bulk describes PuTlW after structural relaxation. The functional is PBE-GGA.

```
PuTlW
1.0
-1.8544 2.9113 3.2152
-3.4522 2.9731 -1.2227
-4.3909 -0.7101 1.5710
Pu Tl W
1 1 1
Cartesian
0.0000 0.0000 0.0000
-2.4244 1.2936 0.8909
-7.2731 3.8807 2.6726
```

Computed properties:
mass density = 14144 kg/m3
crystal system = cubic
calculated volume = 24.74 Å³ per atom
space group = F-43m
magnetization = 0.02 μB per formula unit
energy above the most stable polymorph in this dataset = 1031.8 meV/atom